RbGa2Hg (GGA-PBE, relaxed); formation energy from the elements = -37 meV/atom; SG = No. 166; density = 5.51 g/cm3; DOS at the Fermi energy = 0.3159 states/eV/atom
1.0
4.6921 0.0000 0.0000
-2.3460 4.0635 0.0000
0.0000 0.0000 20.1898
Rb Ga Hg
3 6 3
Cartesian
0.0000 0.0000 0.0000
0.0000 2.7090 13.4599
2.3461 1.3545 6.7299
0.0000 0.0000 4.1472
0.0000 0.0000 16.0426
0.0000 2.7090 9.3127
0.0000 2.7090 17.6071
2.3461 1.3545 2.5827
2.3461 1.3545 10.8771
0.0000 0.0000 10.0949
0.0000 2.7090 3.3650
2.3461 1.3545 16.8248